# BaAl2Pt

A geometry-optimized BaAl2Pt structure (PBE, Alexandria).

a b c (Å): 4.2081 4.2087 6.2352
angles (deg): 90.24 90.00 90.00
Fractional coordinates of all 4 atoms:
Ba: 0.0000 0.3734 0.5502
Pt: 0.5000 0.8752 0.8444
Al: 0.0000 0.8750 0.0527
Al: 0.5000 0.3764 0.0527

Properties
Space-group type: Pm, No. 6
Formation enthalpy at 0 K, eV/atom: -0.482
VASP energy, eV/atom: -4.3440
Total magnetic moment, Bohr magnetons per cell: 0.0
Density, kg/m3: 5810

# Pr3Al4

A geometry-optimized Pr3Al4 structure (PBE, Alexandria).

a b c (Å): 4.5874 3.8272 10.6463
angles (deg): 100.35 102.44 90.00
Fractional coordinates of all 7 atoms:
Pr: 0.5000 0.0000 0.0000
Pr: 0.1921 0.1921 0.3842
Pr: 0.8079 0.8079 0.6158
Al: 0.0652 0.5652 0.1304
Al: 0.9348 0.4348 0.8696
Al: 0.6357 0.6357 0.2713
Al: 0.3643 0.3643 0.7287

Properties
Space-group type: Immm, No. 71
Relative energy among the computed polymorphs, meV per atom: 0
Formation enthalpy at 0 K, eV/atom: -0.391
VASP energy, eV/atom: -4.5778
Total magnetic moment, Bohr magnetons per cell: 0.6
Density, kg/m3: 4911

# Ac4IrS2O

A geometry-optimized Ac4IrS2O structure (PBE, Alexandria).

a b c (Å): 4.1545 7.2414 7.6304
angles (deg): 109.13 90.00 90.00
Fractional coordinates of all 8 atoms:
Ac: 0.5000 0.2482 0.2326
Ac: 0.5000 0.7518 0.7674
Ac: 0.0000 0.2713 0.7757
Ac: 0.0000 0.7287 0.2243
Ir: 0.0000 0.0000 0.0000
S: 0.5000 0.0000 0.5000
S: 0.0000 0.5000 0.5000
O: 0.5000 0.5000 0.0000

Properties
Uncorrected formation energy, eV/atom: -1.728
Space-group type: P2/m, No. 10
VASP energy, eV/atom: -6.5419
Total magnetic moment, Bohr magnetons per cell: 0.0
Density, kg/m3: 9038